[1]
Here is a crystal of LaMnSe2 relaxed with PBEsol from Alexandria via LeMat-Bulk. Energies are from meta-GGA SCAN.

Cell and atoms, written as extended XYZ:
```
4
Lattice="2.224 1.284 7.668 -2.224 1.284 7.668 0.000 -2.568 7.668" Properties=species:S:1:pos:R:3 pbc="T T T"
La 0.000 0.000 0.000
Mn 0.000 0.000 11.503
Se 0.000 0.000 9.162
Se 0.000 0.000 13.844
```

Summary:
The calculation puts the relative energy among the computed polymorphs at 85 meV per atom. As for the volume: 32.9 Å³ per atom. Its crystal system is trigonal. As for the formation energy without anion corrections: -1.265 eV/atom.

=====

[2]
Here is a crystal of La3MnSe relaxed with PBEsol from Alexandria via LeMat-Bulk. Energies are from meta-GGA SCAN.

Cell and atoms, written as extended XYZ:
```
5
Lattice="5.097 0.000 0.000 0.000 5.097 0.000 0.000 0.000 5.097" Properties=species:S:1:pos:R:3 pbc="T T T"
La 0.000 0.000 2.549
La 0.000 2.549 0.000
La 2.549 0.000 0.000
Mn 0.000 0.000 0.000
Se 2.549 2.549 2.549
```

Summary:
As for the volume: 26.5 Å³ per atom. Its crystal system is cubic. As for the formation energy without anion corrections: -0.443 eV/atom.

=====

[3]
Here is a crystal of LaMnSe relaxed with PBEsol from Alexandria via LeMat-Bulk. Energies are from meta-GGA SCAN.

Cell and atoms, written as extended XYZ:
```
3
Lattice="0.000 3.115 3.115 3.115 0.000 3.115 3.115 3.115 0.000" Properties=species:S:1:pos:R:3 pbc="T T T"
La 0.000 0.000 0.000
Mn 4.672 4.672 4.672
Se 3.115 3.115 3.115
```

Summary:
As for the volume: 20.1 Å³ per atom. Its crystal system is cubic. As for the formation energy without anion corrections: -0.462 eV/atom.

=====

[4]
Here is a crystal of LaMnSe2 relaxed with PBEsol from Alexandria via LeMat-Bulk. Energies are from meta-GGA SCAN.

Cell and atoms, written as extended XYZ:
```
4
Lattice="-1.843 1.934 6.460 1.843 -1.934 6.460 1.843 1.934 -6.460" Properties=species:S:1:pos:R:3 pbc="T T T"
La 0.000 0.000 0.000
Mn 1.843 0.000 3.060
Se 0.000 0.000 5.088
Se 0.000 1.934 2.241
```

Summary:
The calculation puts the relative energy among the computed polymorphs at 0 meV per atom. As for the volume: 23.0 Å³ per atom. Its crystal system is orthorhombic. As for the formation energy without anion corrections: -1.350 eV/atom.

=====

[5]
Here is a crystal of LaMn2Si2 relaxed with PBEsol from Alexandria via LeMat-Bulk. Energies are from meta-GGA SCAN.

Cell and atoms, written as extended XYZ:
```
5
Lattice="-1.981 1.981 5.242 1.981 -1.981 5.242 1.981 1.981 -5.242" Properties=species:S:1:pos:R:3 pbc="T T T"
La 0.000 0.000 0.000
Mn 1.981 0.000 2.621
Mn 0.000 1.981 2.621
Si 0.000 0.000 3.893
Si 0.000 0.000 6.590
```

Summary:
As for the volume: 16.5 Å³ per atom. Its crystal system is tetragonal. As for the formation energy without anion corrections: -0.610 eV/atom.

=====

[6]
Here is a crystal of La2MnSi relaxed with PBEsol from Alexandria via LeMat-Bulk. Energies are from meta-GGA SCAN.

Cell and atoms, written as extended XYZ:
```
4
Lattice="4.692 0.000 0.000 0.000 4.692 0.000 0.000 0.000 4.196" Properties=species:S:1:pos:R:3 pbc="T T T"
La 0.000 2.346 0.000
La 2.346 0.000 0.000
Mn 0.000 0.000 2.098
Si 2.346 2.346 2.098
```

Summary:
As for the volume: 23.1 Å³ per atom. Its crystal system is tetragonal. As for the formation energy without anion corrections: -0.234 eV/atom.

=====

[7]
Here is a crystal of La4MnSi relaxed with PBEsol from Alexandria via LeMat-Bulk. Energies are from meta-GGA SCAN.

Cell and atoms, written as extended XYZ:
```
6
Lattice="0.000 4.403 4.403 4.403 0.000 4.403 4.403 4.403 0.000" Properties=species:S:1:pos:R:3 pbc="T T T"
La 3.313 3.313 3.313
La 5.493 5.493 3.313
La 5.493 3.313 5.493
La 3.313 5.493 5.493
Mn 0.000 0.000 0.000
Si 6.604 6.604 6.604
```

Summary:
As for the volume: 28.4 Å³ per atom. Its crystal system is cubic. As for the formation energy without anion corrections: 0.476 eV/atom.

=====

[8]
Here is a crystal of LaMn2Si relaxed with PBEsol from Alexandria via LeMat-Bulk. Energies are from meta-GGA SCAN.

Cell and atoms, written as extended XYZ:
```
4
Lattice="2.925 0.000 0.000 0.000 2.925 0.000 0.000 0.000 7.088" Properties=species:S:1:pos:R:3 pbc="T T T"
La 0.000 0.000 0.000
Mn 0.000 0.000 3.422
Mn 1.462 1.462 2.241
Si 1.462 1.462 4.741
```

Summary:
As for the volume: 15.2 Å³ per atom. Its crystal system is tetragonal. As for the formation energy without anion corrections: 0.061 eV/atom.

=====

[9]
Here is a crystal of La2MnSi relaxed with PBEsol from Alexandria via LeMat-Bulk. Energies are from meta-GGA SCAN.

Cell and atoms, written as extended XYZ:
```
4
Lattice="4.198 0.000 0.000 0.000 2.130 5.482 0.000 -2.130 5.482" Properties=species:S:1:pos:R:3 pbc="T T T"
La 0.000 0.000 0.000
La 2.099 0.000 3.136
Mn 0.000 0.000 7.714
Si 2.099 0.000 6.389
```

Summary:
As for the volume: 24.5 Å³ per atom. Its crystal system is orthorhombic. As for the formation energy without anion corrections: -0.440 eV/atom.

=====

[10]
Here is a crystal of LaMn2Si relaxed with PBEsol from Alexandria via LeMat-Bulk. Energies are from meta-GGA SCAN.

Cell and atoms, written as extended XYZ:
```
4
Lattice="1.945 1.123 5.351 -1.945 1.123 5.351 0.000 -2.246 5.351" Properties=species:S:1:pos:R:3 pbc="T T T"
La 0.000 0.000 0.000
Mn 0.000 0.000 3.167
Mn 0.000 0.000 8.119
Si 0.000 0.000 12.860
```

Summary:
As for the volume: 17.5 Å³ per atom. Its crystal system is trigonal. As for the formation energy without anion corrections: -0.374 eV/atom.

=====

[11]
Here is a crystal of LaMn4Si relaxed with PBEsol from Alexandria via LeMat-Bulk. Energies are from meta-GGA SCAN.

Cell and atoms, written as extended XYZ:
```
6
Lattice="0.000 3.502 3.502 3.502 0.000 3.502 3.502 3.502 0.000" Properties=species:S:1:pos:R:3 pbc="T T T"
La 0.000 0.000 0.000
Mn 4.362 2.641 2.641
Mn 2.641 4.362 2.641
Mn 2.641 2.641 4.362
Mn 4.362 4.362 4.362
Si 1.751 1.751 1.751
```

Summary:
As for the volume: 14.3 Å³ per atom. Its crystal system is cubic. As for the formation energy without anion corrections: 0.232 eV/atom.

=====

[12]
Here is a crystal of LaMn2Si relaxed with PBEsol from Alexandria via LeMat-Bulk. Energies are from meta-GGA SCAN.

Cell and atoms, written as extended XYZ:
```
4
Lattice="3.576 0.000 0.000 0.000 4.190 0.000 -0.347 0.000 4.885" Properties=species:S:1:pos:R:3 pbc="T T T"
La 0.000 0.000 0.000
Mn 0.744 2.095 3.010
Mn 2.485 2.095 1.875
Si 1.615 0.000 2.443
```

Summary:
As for the volume: 18.3 Å³ per atom. Its crystal system is monoclinic. As for the formation energy without anion corrections: 0.272 eV/atom.

=====

Q: Which of these has the highest formation energy without anion corrections?
A: La4MnSi

=====

Q: The lowest formation energy without anion corrections belongs to which entry?
A: number 4

=====

Q: formation energy without anion corrections of number 1 (LaMnSe2)?
A: -1.265 eV/atom

=====

Q: Among the records above, which one has the lowest formation energy without anion corrections?
A: number 4